# YAlTe2N

A relaxed YAlTe2N crystal (PBE, Alexandria via LeMat-Bulk).

a = 6.1312 Å, b = 6.1312 Å, c = 4.0544 Å
α = 90.00°, β = 90.00°, γ = 90.00°
Fractional coordinates of all 5 atoms:
Te  0.0000  0.5000  0.0000
Al  0.5000  0.5000  0.5000
Te  0.5000  0.0000  0.0000
Y  0.0000  0.0000  0.0000
N  0.0000  0.0000  0.5000

## Properties
For the excess energy over the best structure of this formula in the dataset, the calculation gives 14.652 kcal/mol of atoms. For the total magnetic moment, the calculation gives 0.000 μB/f.u. The crystal system is tetragonal. The formation energy without anion corrections is 0.31 eV/atom. The value obtained for the total energy is -4.651 eV/atom.